(1)
CaHoZnSi: optimized geometry, PBE-GGA.

Cell and atoms, written as extended XYZ:
```
4
Lattice="0.0000 3.5477 3.5477 3.5477 0.0000 3.5477 3.5477 3.5477 0.0000" Properties=species:S:1:pos:R:3 pbc="T T T"
Ca 0.0000 0.0000 0.0000
Ho 3.5477 3.5477 3.5477
Zn 1.7739 1.7739 1.7739
Si 5.3216 5.3216 5.3216
```

Calculated values
formation energy without anion corrections	-0.36	eV per atom
space-group type	F-43m, No. 216
electronic total energy	-3.6793	eV per atom

***

(2)
CaSm6Ho: optimized geometry, PBE-GGA.

Cell and atoms, written as extended XYZ:
```
8
Lattice="5.1398 0.0000 0.0000 0.0000 5.1398 0.0000 0.0000 0.0000 10.3012" Properties=species:S:1:pos:R:3 pbc="T T T"
Ca 0.0000 0.0000 0.0000
Sm 0.0000 2.5699 2.6520
Sm 0.0000 2.5699 7.6492
Sm 2.5699 0.0000 2.6520
Sm 2.5699 0.0000 7.6492
Sm 2.5699 2.5699 0.0000
Sm 2.5699 2.5699 5.1506
Ho 0.0000 0.0000 5.1506
```

Calculated values
space-group type	P4/mmm, No. 123
electronic total energy	-4.3113	eV per atom
E_form	1.16	kcal/mol of atoms

***

(3)
CaSmHo14: optimized geometry, PBE-GGA.

Cell and atoms, written as extended XYZ:
```
16
Lattice="11.2585 0.0000 0.0000 0.0000 3.6193 6.2747 0.0000 -3.6193 6.2747" Properties=species:S:1:pos:R:3 pbc="T T T"
Ca 0.0000 0.0000 0.0000
Sm 0.0000 0.0000 6.2650
Ho 0.0000 -1.8018 3.1377
Ho 0.0000 1.8018 3.1377
Ho 2.8001 0.0000 4.1810
Ho 2.8615 0.0000 10.4315
Ho 2.8704 -1.7892 7.3352
Ho 2.8704 1.7892 7.3352
Ho 5.6293 0.0000 0.0008
Ho 5.6293 -1.8082 3.1372
Ho 5.6293 1.8082 3.1372
Ho 5.6293 0.0000 6.2791
Ho 8.3881 -1.7892 7.3352
Ho 8.3881 1.7892 7.3352
Ho 8.3970 0.0000 10.4315
Ho 8.4584 0.0000 4.1810
```

Calculated values
space-group type	Amm2, No. 38
electronic total energy	-4.4002	eV per atom
E_form	0.59	kcal/mol of atoms

***

(4)
CaSm6Ho12: optimized geometry, PBE-GGA.

Cell and atoms, written as extended XYZ:
```
19
Lattice="7.4406 4.2959 3.5244 -7.4406 4.2959 3.5244 0.0000 -8.5917 3.5244" Properties=species:S:1:pos:R:3 pbc="T T T"
Ca 0.0000 0.0000 0.0000
Sm -2.9062 -1.6779 5.8898
Sm 0.0000 -3.3558 4.6834
Sm -2.9062 1.6779 4.6834
Sm 2.9062 -1.6779 5.8898
Sm 0.0000 3.3558 5.8898
Sm 2.9062 1.6779 4.6834
Ho -1.7842 -1.0301 2.7233
Ho -2.8794 -4.9872 5.2866
Ho -5.7587 0.0000 5.2866
Ho 1.7843 -1.0301 2.7233
Ho 0.0000 2.0603 2.7233
Ho 2.8794 -4.9872 5.2866
Ho -2.8794 4.9872 5.2866
Ho 0.0000 -2.0603 7.8500
Ho -1.7842 1.0301 7.8500
Ho 5.7588 0.0000 5.2866
Ho 2.8794 4.9872 5.2866
Ho 1.7842 1.0301 7.8500
```

Calculated values
space-group type	R-3m, No. 166
electronic total energy	-4.0400	eV per atom
E_form	10.30	kcal/mol of atoms

***

(5)
CaSm12Ho7: optimized geometry, PBE-GGA.

Cell and atoms, written as extended XYZ:
```
20
Lattice="-5.7662 5.7662 5.7662 5.7662 -5.7662 5.7662 5.7662 5.7662 -5.7662" Properties=species:S:1:pos:R:3 pbc="T T T"
Ca 0.0000 0.0000 0.0000
Sm 5.7662 2.7706 -2.7531
Sm 3.0131 0.0000 2.9956
Sm 8.5193 0.0000 2.9956
Sm 2.9956 3.0131 0.0000
Sm 2.7706 -2.7531 5.7662
Sm 5.7662 2.7706 2.7531
Sm 0.0000 2.9956 3.0131
Sm 2.9956 8.5193 0.0000
Sm 2.7706 2.7531 5.7662
Sm -2.7531 5.7662 2.7706
Sm 2.7531 5.7662 2.7706
Sm 0.0000 2.9956 8.5193
Ho 2.8831 2.8831 -2.8831
Ho 2.8831 -2.8831 2.8831
Ho 5.7662 0.0000 0.0000
Ho -2.8831 2.8831 2.8831
Ho 0.0000 5.7662 0.0000
Ho 0.0000 0.0000 5.7662
Ho 2.8831 2.8831 2.8831
```

Calculated values
relative energy among the computed polymorphs	421	meV per atom
space-group type	Im-3, No. 204
electronic total energy	-3.8821	eV per atom
E_form	15.03	kcal/mol of atoms

***

(6)
CaSmHo4: optimized geometry, PBE-GGA.

Cell and atoms, written as extended XYZ:
```
6
Lattice="0.0000 4.6965 4.6965 4.6965 0.0000 4.6965 4.6965 4.6965 0.0000" Properties=species:S:1:pos:R:3 pbc="T T T"
Ca 0.0000 0.0000 0.0000
Sm 2.3482 2.3482 2.3482
Ho 5.8583 3.5347 3.5347
Ho 3.5347 5.8583 3.5347
Ho 3.5347 3.5347 5.8583
Ho 5.8583 5.8583 5.8583
```

Calculated values
space-group type	F-43m, No. 216
electronic total energy	-3.9538	eV per atom
E_form	5.03	kcal/mol of atoms

***

(7)
CaSm4Ho4: optimized geometry, PBE-GGA.

Cell and atoms, written as extended XYZ:
```
18
Lattice="6.6688 0.0000 0.0000 -1.0292 9.0109 0.0000 -1.8916 -3.1091 9.9365" Properties=species:S:1:pos:R:3 pbc="T T T"
Ca -0.7354 1.5352 2.5646
Ca 4.4834 4.3666 7.3720
Sm -0.6632 1.3255 6.0693
Sm -0.2652 7.3945 3.9549
Sm 0.7326 -1.6723 7.4006
Sm 0.2301 2.9171 9.4285
Sm 3.5179 2.9847 0.5080
Sm 3.0154 7.5741 2.5360
Sm 4.0132 -1.4926 5.9816
Sm 4.4112 4.5764 3.8672
Ho -1.6780 -0.0813 9.2552
Ho 1.6903 0.0433 0.6511
Ho 1.1750 4.4473 2.4771
Ho 1.1555 4.3899 5.8655
Ho 2.5925 1.5120 4.0710
Ho 2.5730 1.4546 7.4594
Ho 2.0577 5.8586 9.2855
Ho 5.4260 5.9831 0.6813
```

Calculated values
space-group type	P-1, No. 2
electronic total energy	-4.2897	eV per atom
E_form	1.49	kcal/mol of atoms

***

(8)
CaSm5Ho6: optimized geometry, PBE-GGA.

Cell and atoms, written as extended XYZ:
```
12
Lattice="5.9465 -5.3898 0.0000 5.9465 5.3898 0.0000 -1.0811 0.0000 6.1282" Properties=species:S:1:pos:R:3 pbc="T T T"
Ca 0.0000 0.0000 0.0000
Sm 5.4059 3.5551 3.0641
Sm 5.9465 1.7478 0.0000
Sm 5.4059 0.0000 3.0641
Sm 5.9465 -1.7478 0.0000
Sm 5.4059 -3.5551 3.0641
Ho 2.7490 1.8260 1.5522
Ho 2.1946 0.0000 4.5560
Ho 2.7490 -1.8260 1.5522
Ho 8.0628 1.8260 4.5760
Ho 8.6172 0.0000 1.5721
Ho 8.0628 -1.8260 4.5760
```

Calculated values
space-group type	C2/m, No. 12
electronic total energy	-4.3768	eV per atom
E_form	1.04	kcal/mol of atoms

***

(9)
CaSm4Ho: optimized geometry, PBE-GGA.

Cell and atoms, written as extended XYZ:
```
6
Lattice="3.6126 0.0000 0.0000 0.0000 5.1624 0.0000 0.0000 0.0000 11.0130" Properties=species:S:1:pos:R:3 pbc="T T T"
Ca 0.0000 0.0000 0.0000
Sm 0.0000 0.0000 3.7469
Sm 0.0000 0.0000 7.2662
Sm 1.8063 2.5812 2.0023
Sm 1.8063 2.5812 9.0108
Ho 1.8063 2.5812 5.5065
```

Calculated values
relative energy among the computed polymorphs	0	meV per atom
space-group type	Pmmm, No. 47
electronic total energy	-4.1898	eV per atom
E_form	1.22	kcal/mol of atoms

***

(10)
CaSm3Ho6: optimized geometry, PBE-GGA.

Cell and atoms, written as extended XYZ:
```
10
Lattice="5.7899 -3.3061 0.0000 5.7899 3.3061 0.0000 -3.8375 0.0000 8.7753" Properties=species:S:1:pos:R:3 pbc="T T T"
Ca 0.0000 0.0000 0.0000
Sm -1.8595 0.0000 6.0728
Sm 3.8711 0.0000 4.3876
Sm 9.6018 0.0000 2.7025
Ho 0.9688 1.6294 6.0535
Ho 3.8598 0.0000 0.6621
Ho 6.7735 1.6294 2.7217
Ho 0.9688 -1.6294 6.0535
Ho 3.8825 0.0000 8.1131
Ho 6.7735 -1.6294 2.7217
```

Calculated values
space-group type	C2/m, No. 12
electronic total energy	-4.1098	eV per atom
E_form	5.83	kcal/mol of atoms

***

(11)
Ca2Sm5Ho4: optimized geometry, PBE-GGA.

Cell and atoms, written as extended XYZ:
```
11
Lattice="6.2547 0.0000 0.0000 -1.0575 8.0173 0.0000 -2.1149 -2.7512 7.3869" Properties=species:S:1:pos:R:3 pbc="T T T"
Ca 0.4875 1.7204 0.3317
Ca 2.5948 3.5457 7.0552
Sm -0.4981 4.7990 5.6370
Sm 1.5795 5.1117 1.0610
Sm 1.5411 2.6331 3.6934
Sm 1.5027 0.1544 6.3259
Sm 3.5804 0.4671 1.7498
Ho -1.5388 1.4079 4.9505
Ho 0.5159 -0.8051 3.1138
Ho 2.5663 6.0712 4.2731
Ho 4.6210 3.8583 2.4364
```

Calculated values
space-group type	P-1, No. 2
electronic total energy	-4.1079	eV per atom
E_form	1.52	kcal/mol of atoms

***

(12)
CaSm4Ho: optimized geometry, PBE-GGA.

Cell and atoms, written as extended XYZ:
```
6
Lattice="0.0000 4.7582 4.7582 4.7582 0.0000 4.7582 4.7582 4.7582 0.0000" Properties=species:S:1:pos:R:3 pbc="T T T"
Ca 0.0000 0.0000 0.0000
Sm 5.9314 3.5850 3.5850
Sm 3.5850 5.9314 3.5850
Sm 3.5850 3.5850 5.9314
Sm 5.9314 5.9314 5.9314
Ho 2.3791 2.3791 2.3791
```

Calculated values
relative energy among the computed polymorphs	163	meV per atom
space-group type	F-43m, No. 216
electronic total energy	-4.0265	eV per atom
E_form	4.98	kcal/mol of atoms